First-principles (PBE with a Hubbard U) data for crystalline Li2Mn2CrO6 at its relaxed geometry, as listed in Alexandria.

Cell: 5.062 10.115 5.177 Å, 90.00 118.93 90.00°
Sites, in units of the cell vectors:
Li: 0.037 0.000 0.295
Li: 0.331 0.503 0.398
Li: 0.669 0.003 0.602
Li: 0.963 0.500 0.705
Mn: 0.006 0.240 0.907
Mn: 0.336 0.244 0.573
Mn: 0.664 0.744 0.427
Mn: 0.994 0.740 0.093
Cr: 0.334 0.748 0.762
Cr: 0.666 0.248 0.238
O: 0.001 0.640 0.442
O: 0.025 0.345 0.257
O: 0.317 0.343 0.891
O: 0.327 0.644 0.100
O: 0.357 0.135 0.283
O: 0.358 0.853 0.446
O: 0.642 0.353 0.554
O: 0.643 0.635 0.717
O: 0.673 0.144 0.900
O: 0.683 0.843 0.109
O: 0.975 0.845 0.743
O: 0.999 0.140 0.558

Output
Density   3.89 g cm⁻³
Calculated volume   232.0 Å³/cell
Excess energy over the best structure of this formula in the dataset   0.0 meV per atom

***

First-principles (PBE with a Hubbard U) data for crystalline Li2Mn2CrO6 at its relaxed geometry, as listed in Alexandria.

Cell: 5.119 5.119 10.241 Å, 90.00 90.00 118.53°
Sites, in units of the cell vectors:
Li: 0.118 0.118 0.000
Li: 0.368 0.368 0.500
Li: 0.632 0.632 0.000
Li: 0.882 0.882 0.500
Mn: 0.082 0.918 0.250
Mn: 0.409 0.591 0.250
Mn: 0.591 0.409 0.750
Mn: 0.918 0.082 0.750
Cr: 0.251 0.749 0.750
Cr: 0.749 0.251 0.250
O: 0.060 0.210 0.360
O: 0.081 0.591 0.154
O: 0.210 0.060 0.640
O: 0.256 0.405 0.851
O: 0.405 0.256 0.149
O: 0.409 0.919 0.346
O: 0.591 0.081 0.846
O: 0.595 0.744 0.649
O: 0.744 0.595 0.351
O: 0.790 0.940 0.140
O: 0.919 0.409 0.654
O: 0.940 0.790 0.860

Output
Density   3.83 g cm⁻³
Calculated volume   235.8 Å³/cell
Excess energy over the best structure of this formula in the dataset   20.7 meV per atom

***

First-principles (PBE with a Hubbard U) data for crystalline Li2MnCr2O6 at its relaxed geometry, as listed in Alexandria.

Cell: 5.113 5.113 10.150 Å, 90.00 90.00 60.26°
Sites, in units of the cell vectors:
Li: 0.141 0.359 0.250
Li: 0.359 0.141 0.750
Li: 0.641 0.859 0.250
Li: 0.859 0.641 0.750
Mn: 0.000 0.000 0.000
Mn: 0.500 0.500 0.500
Cr: 0.163 0.163 0.500
Cr: 0.337 0.337 0.000
Cr: 0.663 0.663 0.000
Cr: 0.837 0.837 0.500
O: 0.007 0.325 0.895
O: 0.175 0.493 0.605
O: 0.180 0.820 0.401
O: 0.320 0.680 0.901
O: 0.325 0.007 0.105
O: 0.493 0.175 0.395
O: 0.507 0.825 0.605
O: 0.675 0.993 0.895
O: 0.680 0.320 0.099
O: 0.820 0.180 0.599
O: 0.825 0.507 0.395
O: 0.993 0.675 0.105

Output
Density   3.88 g cm⁻³
Calculated volume   230.4 Å³/cell
Excess energy over the best structure of this formula in the dataset   39.1 meV per atom

***

First-principles (PBE with a Hubbard U) data for crystalline Li8Mn3CrO12 at its relaxed geometry, as listed in Alexandria.

Cell: 4.933 4.958 8.436 Å, 89.68 89.62 89.91°
Sites, in units of the cell vectors:
Li: 0.000 0.000 0.000
Li: 0.001 0.006 0.313
Li: 0.002 0.502 0.651
Li: 0.496 0.003 0.839
Li: 0.497 0.501 0.816
Li: 0.502 0.502 0.503
Li: 0.515 0.005 0.149
Li: 0.987 0.506 0.340
Mn: 0.001 0.002 0.666
Mn: 0.503 0.001 0.488
Mn: 0.996 0.497 0.984
Cr: 0.486 0.504 0.168
O: 0.149 0.751 0.825
O: 0.176 0.717 0.148
O: 0.176 0.788 0.501
O: 0.318 0.282 0.999
O: 0.324 0.218 0.651
O: 0.361 0.252 0.325
O: 0.650 0.759 0.329
O: 0.673 0.715 0.002
O: 0.675 0.787 0.652
O: 0.824 0.288 0.151
O: 0.828 0.219 0.501
O: 0.847 0.252 0.825

Output
Uncorrected energy   -6.118 eV/atom
Density   3.74 g cm⁻³
Calculated volume   206.3 Å³/cell

***

First-principles (PBE with a Hubbard U) data for crystalline LiMnCrO4 at its relaxed geometry, as listed in Alexandria.

Cell: 5.913 5.913 5.913 Å, 120.56 119.38 90.06°
Sites, in units of the cell vectors:
Li: 0.367 0.117 0.250
Li: 0.633 0.883 0.750
Mn: 0.000 0.000 0.500
Mn: 0.000 0.500 0.000
Cr: 0.000 0.500 0.500
Cr: 0.500 0.500 0.000
O: 0.210 0.742 0.468
O: 0.227 0.258 0.968
O: 0.231 0.253 0.522
O: 0.231 0.709 0.978
O: 0.769 0.291 0.022
O: 0.769 0.747 0.478
O: 0.773 0.742 0.032
O: 0.790 0.258 0.532

Output
Uncorrected energy   -7.076 eV/atom
Density   4.04 g cm⁻³
Calculated volume   146.3 Å³/cell

***

First-principles (PBE with a Hubbard U) data for crystalline Li32Mn3Cr13O48 at its relaxed geometry, as listed in Alexandria.

Cell: 5.033 8.725 19.480 Å, 82.24 85.14 89.24°
Sites, in units of the cell vectors:
Li: 0.000 0.000 0.000
Li: 0.000 0.328 0.998
Li: 0.117 0.122 0.623
Li: 0.120 0.121 0.123
Li: 0.229 0.918 0.749
Li: 0.235 0.922 0.248
Li: 0.247 0.245 0.249
Li: 0.249 0.246 0.749
Li: 0.255 0.579 0.248
Li: 0.256 0.581 0.748
Li: 0.374 0.373 0.374
Li: 0.374 0.373 0.874
Li: 0.487 0.170 0.999
Li: 0.490 0.500 0.998
Li: 0.490 0.501 0.498
Li: 0.492 0.173 0.498
Li: 0.505 0.828 0.999
Li: 0.508 0.827 0.499
Li: 0.622 0.626 0.624
Li: 0.624 0.626 0.124
Li: 0.734 0.419 0.250
Li: 0.734 0.419 0.750
Li: 0.745 0.748 0.748
Li: 0.749 0.747 0.248
Li: 0.752 0.080 0.248
Li: 0.755 0.079 0.749
Li: 0.871 0.874 0.873
Li: 0.873 0.874 0.373
Li: 0.981 0.671 0.499
Li: 0.981 0.671 0.999
Li: 0.998 0.326 0.498
Li: 0.999 0.000 0.500
Mn: 0.621 0.960 0.123
Mn: 0.869 0.208 0.873
Mn: 0.870 0.208 0.373
Cr: 0.113 0.451 0.125
Cr: 0.116 0.451 0.625
Cr: 0.125 0.787 0.624
Cr: 0.129 0.789 0.123
Cr: 0.362 0.709 0.874
Cr: 0.363 0.710 0.373
Cr: 0.380 0.040 0.873
Cr: 0.381 0.041 0.373
Cr: 0.614 0.962 0.623
Cr: 0.618 0.296 0.124
Cr: 0.623 0.297 0.622
Cr: 0.873 0.537 0.875
Cr: 0.874 0.537 0.375
O: 0.028 0.392 0.819
O: 0.029 0.392 0.319
O: 0.067 0.071 0.817
O: 0.068 0.071 0.317
O: 0.074 0.714 0.818
O: 0.075 0.714 0.317
O: 0.162 0.534 0.930
O: 0.163 0.534 0.430
O: 0.170 0.176 0.930
O: 0.171 0.176 0.430
O: 0.213 0.852 0.930
O: 0.214 0.852 0.430
O: 0.273 0.642 0.068
O: 0.275 0.642 0.569
O: 0.309 0.327 0.066
O: 0.311 0.327 0.565
O: 0.322 0.966 0.067
O: 0.327 0.964 0.567
O: 0.414 0.784 0.680
O: 0.422 0.787 0.179
O: 0.427 0.422 0.182
O: 0.428 0.422 0.682
O: 0.459 0.107 0.179
O: 0.463 0.107 0.678
O: 0.527 0.897 0.317
O: 0.527 0.897 0.816
O: 0.569 0.572 0.817
O: 0.570 0.573 0.317
O: 0.572 0.216 0.817
O: 0.573 0.217 0.317
O: 0.671 0.677 0.931
O: 0.672 0.036 0.929
O: 0.672 0.678 0.430
O: 0.673 0.036 0.429
O: 0.704 0.352 0.930
O: 0.705 0.353 0.430
O: 0.781 0.141 0.068
O: 0.783 0.146 0.567
O: 0.805 0.459 0.068
O: 0.806 0.462 0.568
O: 0.818 0.821 0.066
O: 0.819 0.821 0.567
O: 0.921 0.926 0.180
O: 0.921 0.927 0.680
O: 0.931 0.287 0.180
O: 0.933 0.287 0.680
O: 0.957 0.602 0.680
O: 0.960 0.604 0.180

Output
Density   3.60 g cm⁻³
Calculated volume   844.5 Å³/cell
Excess energy over the best structure of this formula in the dataset   0.0 meV per atom